w.
# PBE CsTe2IO, relaxed
# - N(E_F) (states/eV/cell) = 4.900
# - size of the total moment (Bohr magnetons per cell) = 6.017
data_CsTe2IO
_symmetry_space_group_name_H-M 'P 4/m m m'
_symmetry_Int_Tables_number 123
_symmetry_space_group_name_Hall '-P 4 2'
_cell_length_a 6.682
_cell_length_b 6.682
_cell_length_c 6.875
_cell_angle_alpha 90.00
_cell_angle_beta 90.00
_cell_angle_gamma 90.00
loop_
_atom_site_label
_atom_site_fract_x
_atom_site_fract_y
_atom_site_fract_z
_atom_site_occupancy
Cs1 0.000 0.000 0.000 1
Te1 0.000 0.500 0.000 1
I1 0.000 0.000 0.500 1
O1 0.500 0.500 0.500 1



x.
# PBE CsTe2IO, relaxed
# - N(E_F) (states/eV/cell) = 5.935
# - size of the total moment (Bohr magnetons per cell) = 0.633
data_CsTe2IO
_symmetry_space_group_name_H-M 'P 4/m m m'
_symmetry_Int_Tables_number 123
_symmetry_space_group_name_Hall '-P 4 2'
_cell_length_a 4.774
_cell_length_b 4.774
_cell_length_c 8.101
_cell_angle_alpha 90.00
_cell_angle_beta 90.00
_cell_angle_gamma 90.00
loop_
_atom_site_label
_atom_site_fract_x
_atom_site_fract_y
_atom_site_fract_z
_atom_site_occupancy
Cs1 0.000 0.000 0.000 1
Te1 0.000 0.500 0.500 1
I1 0.500 0.500 0.000 1
O1 0.500 0.500 0.500 1



Which of them is most stable? Easy: x.



w.
# PBE CsTlIO2, relaxed
# - N(E_F) (states/eV/cell) = 3.474
# - size of the total moment (Bohr magnetons per cell) = 1.196
data_CsTlIO2
_symmetry_space_group_name_H-M 'P 4/m m m'
_symmetry_Int_Tables_number 123
_symmetry_space_group_name_Hall '-P 4 2'
_cell_length_a 4.839
_cell_length_b 4.839
_cell_length_c 6.139
_cell_angle_alpha 90.00
_cell_angle_beta 90.00
_cell_angle_gamma 90.00
loop_
_atom_site_label
_atom_site_fract_x
_atom_site_fract_y
_atom_site_fract_z
_atom_site_occupancy
Cs1 0.000 0.000 0.000 1
Tl1 0.500 0.500 0.500 1
I1 0.500 0.500 0.000 1
O1 0.000 0.500 0.500 1



x.
# PBE CsTlIO2, relaxed
# - N(E_F) (states/eV/cell) = 3.606
# - size of the total moment (Bohr magnetons per cell) = 1.152
data_CsTlIO2
_symmetry_space_group_name_H-M 'P 4/m m m'
_symmetry_Int_Tables_number 123
_symmetry_space_group_name_Hall '-P 4 2'
_cell_length_a 4.734
_cell_length_b 4.734
_cell_length_c 7.753
_cell_angle_alpha 90.00
_cell_angle_beta 90.00
_cell_angle_gamma 90.00
loop_
_atom_site_label
_atom_site_fract_x
_atom_site_fract_y
_atom_site_fract_z
_atom_site_occupancy
Cs1 0.000 0.000 0.000 1
Tl1 0.500 0.500 0.500 1
I1 0.000 0.000 0.500 1
O1 0.000 0.500 0.000 1



Which of them is most stable? Easy: w.



w.
# PBE CsTlI2O, relaxed
# - N(E_F) (states/eV/cell) = 6.070
# - size of the total moment (Bohr magnetons per cell) = 0.805
data_CsTlI2O
_symmetry_space_group_name_H-M 'P 4/m m m'
_symmetry_Int_Tables_number 123
_symmetry_space_group_name_Hall '-P 4 2'
_cell_length_a 7.254
_cell_length_b 7.254
_cell_length_c 4.421
_cell_angle_alpha 90.00
_cell_angle_beta 90.00
_cell_angle_gamma 90.00
loop_
_atom_site_label
_atom_site_fract_x
_atom_site_fract_y
_atom_site_fract_z
_atom_site_occupancy
Cs1 0.000 0.000 0.000 1
Tl1 0.500 0.500 0.500 1
I1 0.000 0.500 0.000 1
O1 0.000 0.000 0.500 1



x.
# PBE CsTlI2O, relaxed
# - N(E_F) (states/eV/cell) = 5.698
# - size of the total moment (Bohr magnetons per cell) = 0.000
data_CsTlI2O
_symmetry_space_group_name_H-M 'P 4/m m m'
_symmetry_Int_Tables_number 123
_symmetry_space_group_name_Hall '-P 4 2'
_cell_length_a 6.554
_cell_length_b 6.554
_cell_length_c 4.193
_cell_angle_alpha 90.00
_cell_angle_beta 90.00
_cell_angle_gamma 90.00
loop_
_atom_site_label
_atom_site_fract_x
_atom_site_fract_y
_atom_site_fract_z
_atom_site_occupancy
Cs1 0.000 0.000 0.000 1
Tl1 0.500 0.500 0.500 1
I1 0.000 0.500 0.500 1
O1 0.500 0.500 0.000 1



Which of them is most stable? Easy: x.